No. 1
DFT (PBE-GGA) results for a relaxed structure of PmThMgRe.

Summary:
M_tot: 0.00 μB/f.u.
formation enthalpy at 0 K: 163 meV/atom

Unit cell a=5.175 b=5.175 c=5.175 alpha=60.00 beta=60.00 gamma=60.00
Positions (direct):
Pm: 0.000 0.000 0.000
Th: 0.500 0.500 0.500
Mg: 0.250 0.250 0.250
Re: 0.750 0.750 0.750


No. 2
DFT (PBE-GGA) results for a relaxed structure of PmMg2Rh.

Summary:
M_tot: 0.00 μB/f.u.
formation enthalpy at 0 K: -463 meV/atom

Unit cell a=15.499 b=8.322 c=5.528 alpha=90.00 beta=90.00 gamma=90.00
Positions (direct):
Pm: 0.103 0.250 0.246
Pm: 0.136 0.750 0.040
Pm: 0.364 0.250 0.540
Pm: 0.397 0.750 0.746
Pm: 0.603 0.250 0.254
Pm: 0.636 0.750 0.460
Pm: 0.864 0.250 0.960
Pm: 0.897 0.750 0.754
Mg: 0.042 0.056 0.734
Mg: 0.042 0.444 0.734
Mg: 0.212 0.556 0.535
Mg: 0.212 0.944 0.535
Mg: 0.288 0.056 0.035
Mg: 0.288 0.444 0.035
Mg: 0.458 0.556 0.234
Mg: 0.458 0.944 0.234
Mg: 0.542 0.056 0.766
Mg: 0.542 0.444 0.766
Mg: 0.712 0.556 0.965
Mg: 0.712 0.944 0.965
Mg: 0.788 0.056 0.465
Mg: 0.788 0.444 0.465
Mg: 0.958 0.556 0.266
Mg: 0.958 0.944 0.266
Rh: 0.069 0.750 0.533
Rh: 0.190 0.250 0.740
Rh: 0.310 0.750 0.240
Rh: 0.431 0.250 0.033
Rh: 0.569 0.750 0.967
Rh: 0.690 0.250 0.760
Rh: 0.810 0.750 0.260
Rh: 0.931 0.250 0.467


Look up the formation enthalpy at 0 K of the first one. 163 meV/atom